## AlSi2Rh (PBE)

Data for a relaxed structure of AlSi2Rh.

```
4
Lattice="4.1897 -1.5654 0.0000 4.1897 1.5654 0.0000 -0.4182 0.0000 4.3413" Properties=species:S:1:pos:R:3 pbc="T T T"
Al 0.0000 0.0000 0.0000
Si 1.7270 0.0000 3.2065
Si 6.2342 0.0000 1.1348
Rh 3.9806 0.0000 2.1706
```

Properties
SG	No. 12
formation energy (no corrections)	-0.2648	eV/atom
total magnetization	0.0	Bohr magnetons per cell